A geometry-optimized La2BeSi2 structure, computed with PBE-GGA.

calculated density: 5.03 g cm⁻³
distance to the lowest polymorph of the same formula: 224 meV per atom
energy relative to the elements, uncorrected: -0.377 eV/atom

Cell: 6.966 6.966 4.666 Å, 90.00 90.00 90.00°
Space group P4/mbm (No. 127)
One atom of each set of equivalent atoms:
La 0.178 0.322 0.000 (multiplicity 4)
Be 0.000 0.000 0.500 (multiplicity 2)
Si 0.123 0.623 0.500 (multiplicity 4)